CaReSe3: relaxed, GGA-PBEsol.

Lattice parameters (Å, degrees): 4.904 4.904 4.904 90.00 90.00 90.00
Each line ends with the local moment (μB).
Element x y z (fractional)
Ca 0.500 0.500 0.500  0.01
Se 0.500 0.000 0.000  0.01
Re 0.000 0.000 0.000  0.37
Se 0.000 0.000 0.500  0.01
Se 0.000 0.500 0.000  0.01

Results
The calculation puts the total energy at -5.638 eV per atom. For the density of states at the Fermi level, the calculation gives 1.01 states/eV/atom.



SrCaReSe2: relaxed, GGA-PBEsol.

Lattice parameters (Å, degrees): 4.932 4.932 5.612 90.00 90.00 90.00
Element x y z (fractional)
Sr 0.000 0.000 0.500
Se 0.500 0.000 0.000
Re 0.000 0.000 0.000
Se 0.000 0.500 0.000
Ca 0.500 0.500 0.500

Results
The calculation puts the total energy at -4.828 eV per atom. For the density of states at the Fermi level, the calculation gives 1.04 states/eV/atom.